1.
A plane-wave DFT calculation with PBE was carried out for an optimized crystal structure of LiAs2PdC.

Lattice parameters (Å, degrees): 4.483 4.483 4.099 90.00 90.00 90.00
Fractional positions:
Li1 0.000 0.000 0.000
As1 0.000 0.500 0.500
As2 0.500 0.000 0.500
Pd1 0.500 0.500 0.000
C1 0.500 0.500 0.500

Summary:
As for the uncorrected energy: -4.5702 eV per atom. The energy of formation is 556 meV per atom.

2.
A plane-wave DFT calculation with PBE was carried out for an optimized crystal structure of LiAsRu2C.

Lattice parameters (Å, degrees): 4.522 4.522 4.388 90.00 90.00 90.00
Fractional positions:
Li1 0.000 0.000 0.000
As1 0.000 0.000 0.500
Ru1 0.000 0.500 0.500
Ru2 0.500 0.000 0.500
C1 0.500 0.500 0.000

Summary:
As for the uncorrected energy: -5.0251 eV per atom. The energy of formation is 1843 meV per atom.

3.
A plane-wave DFT calculation with PBE was carried out for an optimized crystal structure of LiSc2AsC.

Lattice parameters (Å, degrees): 4.445 4.445 4.055 90.00 90.00 90.00
Fractional positions:
Li1 0.000 0.000 0.000
Sc1 0.000 0.500 0.500
Sc2 0.500 0.000 0.500
As1 0.500 0.500 0.000
C1 0.000 0.000 0.500

Summary:
As for the uncorrected energy: -6.3733 eV per atom. The energy of formation is -683 meV per atom.

4.
A plane-wave DFT calculation with PBE was carried out for an optimized crystal structure of LiAs2CSe.

Lattice parameters (Å, degrees): 4.434 4.434 4.582 90.00 90.00 90.00
Fractional positions:
Li1 0.000 0.000 0.000
As1 0.000 0.500 0.000
As2 0.500 0.000 0.000
C1 0.500 0.500 0.500
Se1 0.000 0.000 0.500

Summary:
As for the uncorrected energy: -3.1051 eV per atom. The calculation puts the uncorrected formation energy at 810.1 kJ/mol of formula units.

5.
A plane-wave DFT calculation with PBE was carried out for an optimized crystal structure of LiAs2CSe.

Lattice parameters (Å, degrees): 4.377 4.377 4.530 90.00 90.00 90.00
Fractional positions:
Li1 0.000 0.000 0.000
As1 0.000 0.500 0.500
As2 0.500 0.000 0.500
C1 0.500 0.500 0.500
Se1 0.500 0.500 0.000

Summary:
As for the uncorrected energy: -4.0089 eV per atom. The calculation puts the uncorrected formation energy at 374.1 kJ/mol of formula units.

6.
A plane-wave DFT calculation with PBE was carried out for an optimized crystal structure of LiTcAsC2.

Lattice parameters (Å, degrees): 3.932 3.932 5.039 90.00 90.00 90.00
Fractional positions:
Li1 0.000 0.000 0.000
Tc1 0.000 0.000 0.500
As1 0.500 0.500 0.000
C1 0.000 0.500 0.500
C2 0.500 0.000 0.500

Summary:
As for the uncorrected energy: -5.6040 eV per atom. The energy of formation is 1471 meV per atom.

7.
A plane-wave DFT calculation with PBE was carried out for an optimized crystal structure of LiY2AsC.

Lattice parameters (Å, degrees): 4.831 4.831 4.119 90.00 90.00 90.00
Fractional positions:
Li1 0.000 0.000 0.000
Y1 0.000 0.500 0.500
Y2 0.500 0.000 0.500
As1 0.500 0.500 0.000
C1 0.000 0.000 0.500

Summary:
As for the uncorrected energy: -6.3729 eV per atom. The energy of formation is -630 meV per atom.

8.
A plane-wave DFT calculation with PBE was carried out for an optimized crystal structure of Mg2AsC.

Lattice parameters (Å, degrees): 4.453 4.453 4.453 60.00 60.00 60.00
Fractional positions:
Mg1 0.250 0.250 0.250
Mg2 0.750 0.750 0.750
As1 0.000 0.000 0.000
C1 0.500 0.500 0.500

Summary:
As for the uncorrected energy: -3.5595 eV per atom. The energy of formation is 706 meV per atom.

9.
A plane-wave DFT calculation with PBE was carried out for an optimized crystal structure of Mg2AsC.

Lattice parameters (Å, degrees): 5.749 5.749 5.749 101.14 101.14 127.84
Fractional positions:
Mg1 0.009 0.625 0.884
Mg2 0.375 0.259 0.384
Mg3 0.741 0.125 0.116
Mg4 0.875 0.991 0.616
As1 0.250 0.750 0.500
As2 0.500 0.500 0.000
C1 0.000 0.000 0.000
C2 0.750 0.250 0.500

Summary:
As for the uncorrected energy: -3.7235 eV per atom. The energy of formation is 542 meV per atom.

10.
A plane-wave DFT calculation with PBE was carried out for an optimized crystal structure of Mg2Ni6AsC.

Lattice parameters (Å, degrees): 5.141 7.816 6.487 90.00 90.00 90.00
Fractional positions:
Mg1 0.250 0.040 0.211
Mg2 0.250 0.460 0.211
Mg3 0.750 0.540 0.789
Mg4 0.750 0.960 0.789
Ni1 0.002 0.750 0.116
Ni2 0.014 0.750 0.512
Ni3 0.250 0.011 0.648
Ni4 0.250 0.489 0.648
Ni5 0.486 0.750 0.512
Ni6 0.498 0.750 0.116
Ni7 0.502 0.250 0.884
Ni8 0.514 0.250 0.488
Ni9 0.750 0.511 0.352
Ni10 0.750 0.989 0.352
Ni11 0.986 0.250 0.488
Ni12 0.998 0.250 0.884
As1 0.250 0.750 0.824
As2 0.750 0.250 0.176
C1 0.250 0.250 0.683
C2 0.750 0.750 0.317

Summary:
As for the uncorrected energy: -5.3672 eV per atom. The energy of formation is -192 meV per atom.

11.
A plane-wave DFT calculation with PBE was carried out for an optimized crystal structure of MgAs2PdC.

Lattice parameters (Å, degrees): 5.168 5.168 3.757 90.00 90.00 90.00
Fractional positions:
Mg1 0.000 0.000 0.000
As1 0.000 0.500 0.500
As2 0.500 0.000 0.500
Pd1 0.500 0.500 0.500
C1 0.500 0.500 0.000

Summary:
As for the uncorrected energy: -4.2485 eV per atom. The energy of formation is 814 meV per atom.

12.
A plane-wave DFT calculation with PBE was carried out for an optimized crystal structure of Mg2AsPdC.

Lattice parameters (Å, degrees): 4.235 4.235 4.470 90.00 90.00 90.00
Fractional positions:
Mg1 0.000 0.500 0.000
Mg2 0.500 0.000 0.000
As1 0.000 0.000 0.500
Pd1 0.500 0.500 0.500
C1 0.000 0.000 0.000

Summary:
As for the uncorrected energy: -4.1853 eV per atom. The energy of formation is 266 meV per atom.

Which of these has the lowest uncorrected energy? LiSc2AsC

Among the records above, which one has the highest uncorrected energy? number 4

What is the formula in the seventh record? LiY2AsC

Which value of uncorrected energy does entry 10 give? -5.3672 eV per atom